# 1
This record from the Alexandria database describes NaB3H4O7 after structural relaxation. The functional is GGA-PBEsol.

## Properties
As for the total magnetization: 0.00 μB per formula unit. Its total energy is -100.8 eV/f.u. Its space group is No. 15. The calculated volume is 544.04 Å³/cell.

a b c (Å): 6.2955 9.7617 10.3389
angles (deg): 118.17 102.11 90.00
Fractional coordinates of all 60 atoms:
Na: 0.4005 0.5870 0.6538
Na: 0.9005 0.0668 0.6538
Na: 0.0995 0.9332 0.3462
Na: 0.5995 0.4130 0.3462
O: 0.4900 0.0219 0.6844
O: 0.2117 0.1451 0.5994
O: 0.0927 0.4039 0.6044
O: 0.4957 0.4005 0.1016
O: 0.7883 0.8549 0.4006
O: 0.9787 0.8094 0.9428
O: 0.4808 0.3051 0.8368
O: 0.9957 0.7011 0.1016
O: 0.7117 0.4542 0.5994
O: 0.0100 0.3375 0.3156
O: 0.5192 0.6949 0.1632
O: 0.4073 0.7994 0.3956
O: 0.5100 0.9781 0.3156
O: 0.2883 0.5458 0.4006
O: 0.0192 0.4683 0.1632
O: 0.9808 0.5317 0.8368
O: 0.9895 0.0608 0.1995
O: 0.0105 0.9392 0.8005
O: 0.5213 0.8666 0.0572
O: 0.9073 0.5961 0.3956
O: 0.0213 0.1906 0.0572
O: 0.9900 0.6625 0.6844
O: 0.4895 0.1387 0.1995
O: 0.4787 0.1334 0.9428
O: 0.5043 0.5995 0.8984
O: 0.5105 0.8613 0.8005
O: 0.5927 0.2006 0.6044
O: 0.0043 0.2989 0.8984
H: 0.5036 0.5131 0.1225
H: 0.0036 0.6093 0.1225
H: 0.0200 0.0342 0.9020
H: 0.8348 0.7530 0.3947
H: 0.6652 0.3583 0.6053
H: 0.0502 0.3673 0.4933
H: 0.9498 0.6327 0.5067
H: 0.4800 0.1323 0.0980
H: 0.1652 0.2470 0.6053
H: 0.9964 0.3906 0.8775
H: 0.5200 0.8677 0.9020
H: 0.9800 0.9658 0.0980
H: 0.3348 0.6417 0.3947
H: 0.4498 0.8740 0.5067
H: 0.4964 0.4869 0.8775
H: 0.5502 0.1260 0.4933
B: 0.0611 0.4914 0.3211
B: 0.0179 0.3263 0.0419
B: 0.5179 0.7156 0.0419
B: 0.9899 0.8031 0.8062
B: 0.4899 0.0031 0.8062
B: 0.9821 0.6737 0.9581
B: 0.9389 0.5086 0.6789
B: 0.5101 0.9969 0.1938
B: 0.0101 0.1969 0.1938
B: 0.4821 0.2844 0.9581
B: 0.5611 0.8297 0.3211
B: 0.4389 0.1703 0.6789



# 2
This record from the Alexandria database describes NaBH8O2 after structural relaxation. The functional is GGA-PBEsol.

## Properties
As for the total magnetization: 0.00 μB per formula unit. Its total energy is -53.3 eV/f.u. Its space group is No. 61. The calculated volume is 793.30 Å³/cell.

a b c (Å): 6.7202 10.0537 11.7416
angles (deg): 90.00 90.00 90.00
Fractional coordinates of all 96 atoms:
O: 0.7433 0.6919 0.3875
O: 0.8481 0.0132 0.8952
O: 0.6519 0.5132 0.1048
O: 0.7567 0.1919 0.6125
O: 0.2433 0.3081 0.1125
O: 0.1519 0.9868 0.1048
O: 0.2433 0.8081 0.3875
O: 0.1519 0.4868 0.3952
O: 0.7567 0.6919 0.8875
O: 0.7433 0.1919 0.1125
O: 0.2567 0.3081 0.6125
O: 0.6519 0.0132 0.3952
O: 0.3481 0.9868 0.6048
O: 0.2567 0.8081 0.8875
O: 0.3481 0.4868 0.8952
O: 0.8481 0.5132 0.6048
H: 0.3892 0.5071 0.8161
H: 0.2472 0.2619 0.1864
H: 0.1853 0.8962 0.3700
H: 0.9783 0.4900 0.8148
H: 0.2528 0.2619 0.6864
H: 0.3892 0.0071 0.6839
H: 0.6002 0.3871 0.4528
H: 0.7764 0.8849 0.1866
H: 0.4886 0.2086 0.8089
H: 0.5217 0.4900 0.3148
H: 0.3147 0.3962 0.6300
H: 0.2236 0.1151 0.8134
H: 0.9886 0.2914 0.8089
H: 0.8998 0.8871 0.5472
H: 0.7967 0.0282 0.3887
H: 0.6108 0.4929 0.1839
H: 0.8147 0.6038 0.8700
H: 0.5114 0.7914 0.1911
H: 0.4886 0.7086 0.6911
H: 0.2528 0.7619 0.8136
H: 0.2967 0.4718 0.3887
H: 0.4783 0.5100 0.6852
H: 0.1108 0.5071 0.3161
H: 0.7472 0.7381 0.3136
H: 0.9886 0.7914 0.6911
H: 0.9783 0.9900 0.6852
H: 0.1002 0.1129 0.4528
H: 0.2764 0.1151 0.3134
H: 0.7528 0.7381 0.8136
H: 0.7967 0.5282 0.1113
H: 0.7236 0.3849 0.8134
H: 0.2033 0.4718 0.8887
H: 0.6853 0.6038 0.3700
H: 0.1853 0.3962 0.1300
H: 0.7236 0.8849 0.6866
H: 0.5114 0.2914 0.3089
H: 0.6853 0.1038 0.1300
H: 0.2967 0.9718 0.1113
H: 0.8892 0.4929 0.6839
H: 0.1108 0.0071 0.1839
H: 0.7528 0.2381 0.6864
H: 0.3998 0.6129 0.5472
H: 0.7033 0.0282 0.8887
H: 0.6108 0.9929 0.3161
H: 0.8147 0.1038 0.6300
H: 0.8892 0.9929 0.8161
H: 0.0114 0.2086 0.3089
H: 0.2472 0.7619 0.3136
H: 0.7764 0.3849 0.3134
H: 0.4783 0.0100 0.8148
H: 0.2236 0.6151 0.6866
H: 0.1002 0.6129 0.0472
H: 0.0217 0.5100 0.1852
H: 0.7472 0.2381 0.1864
H: 0.7033 0.5282 0.6113
H: 0.3998 0.1129 0.9528
H: 0.8998 0.3871 0.9528
H: 0.3147 0.8962 0.8700
H: 0.0217 0.0100 0.3148
H: 0.5217 0.9900 0.1852
H: 0.0114 0.7086 0.1911
H: 0.2764 0.6151 0.1866
H: 0.6002 0.8871 0.0472
H: 0.2033 0.9718 0.6113
B: 0.6035 0.3860 0.3483
B: 0.1035 0.1140 0.3483
B: 0.6035 0.8860 0.1517
B: 0.3965 0.1140 0.8483
B: 0.1035 0.6140 0.1517
B: 0.8965 0.8860 0.6517
B: 0.8965 0.3860 0.8483
B: 0.3965 0.6140 0.6517
Na: 0.5396 0.8284 0.5067
Na: 0.9604 0.8284 0.0067
Na: 0.4604 0.6716 0.0067
Na: 0.9604 0.3284 0.4933
Na: 0.0396 0.6716 0.5067
Na: 0.0396 0.1716 0.9933
Na: 0.5396 0.3284 0.9933
Na: 0.4604 0.1716 0.4933